Version a
Sr3Co2: relaxed, GGA-PBE.

Output
The calculation puts the density at 4.12 g cm⁻³. As for the size of the total moment: 2.4 μB per formula unit. For the density of states at the Fermi level, the calculation gives 1.16 states/eV/atom.

Unit cell a=13.472 b=21.205 c=4.299 alpha=90.00 beta=90.00 gamma=90.00
Space group Fdd2 (No. 43)
Asymmetric unit:
Sr: 0.000 0.000 0.000 [8 per cell]
Sr: 0.125 0.125 0.624 [16 per cell]
Co: 0.000 0.236 0.001 [16 per cell]

=====

Version b
Sr3Co2: relaxed, GGA-PBE.

Output
The calculation puts the density at 3.65 g cm⁻³. As for the size of the total moment: 2.4 μB per formula unit. For the density of states at the Fermi level, the calculation gives 1.77 states/eV/atom.

Unit cell a=4.8368 b=4.8368 c=8.5536 alpha=90.00 beta=90.00 gamma=120.00
Space group P-3m1 (No. 164)
Asymmetric unit:
Sr: 0.0000 0.0000 0.0000 [1 per cell]
Sr: 0.3333 0.6667 0.3047 [2 per cell]
Co: 0.3333 0.6667 0.9558 [2 per cell]

=====

Short version: version a, version b, most stable first.

=====

Version a
SrTa2Co: relaxed, GGA-PBE.

Output
The calculation puts the density at 10.48 g cm⁻³. As for the size of the total moment: 0.0 μB per formula unit. For the density of states at the Fermi level, the calculation gives 0.86 states/eV/atom.

Unit cell a=11.588 b=2.936 c=5.099 alpha=90.00 beta=111.75 gamma=90.00
Space group C2/m (No. 12)
Asymmetric unit:
Sr: 0.000 0.000 0.000 [2 per cell]
Ta: 0.199 0.000 0.681 [4 per cell]
Co: 0.000 0.500 0.500 [2 per cell]

=====

Version b
SrTa2Co: relaxed, GGA-PBE.

Output
The calculation puts the density at 10.75 g cm⁻³. As for the size of the total moment: 0.4 μB per formula unit. For the density of states at the Fermi level, the calculation gives 0.99 states/eV/atom.

Unit cell a=3.232 b=4.605 c=5.277 alpha=90.00 beta=90.00 gamma=90.00
Space group Pmmm (No. 47)
Asymmetric unit:
Sr: 0.000 0.000 0.000 [1 per cell]
Ta: 0.000 0.500 0.500 [1 per cell]
Ta: 0.500 0.000 0.500 [1 per cell]
Co: 0.500 0.500 0.000 [1 per cell]

=====

Version c
SrTa2Co: relaxed, GGA-PBE.

Output
The calculation puts the density at 10.66 g cm⁻³. As for the size of the total moment: 1.0 μB per formula unit. For the density of states at the Fermi level, the calculation gives 1.18 states/eV/atom.

Unit cell a=5.460 b=10.337 c=2.807 alpha=90.00 beta=90.00 gamma=90.00
Space group Cmmm (No. 65)
Asymmetric unit:
Sr: 0.000 0.000 0.000 [2 per cell]
Ta: 0.250 0.250 0.500 [4 per cell]
Co: 0.000 0.500 0.000 [2 per cell]

=====

Version d
SrTa2Co: relaxed, GGA-PBE.

Output
The calculation puts the density at 7.63 g cm⁻³. As for the size of the total moment: 0.0 μB per formula unit. For the density of states at the Fermi level, the calculation gives 1.36 states/eV/atom.

Unit cell a=5.191 b=5.191 c=16.429 alpha=90.00 beta=90.00 gamma=90.00
Space group I4_1/amd (No. 141, origin choice 2)
Asymmetric unit:
Sr: 0.000 0.250 0.375 [4 per cell]
Ta: 0.000 0.000 0.000 [8 per cell]
Co: 0.000 0.250 0.875 [4 per cell]

=====

Short version: version a, version b, version c, version d, most stable first.

=====

Version a
SrTa2Co: relaxed, GGA-PBE.

Output
The calculation puts the density at 11.41 g cm⁻³. As for the size of the total moment: 0.6 μB per formula unit. For the density of states at the Fermi level, the calculation gives 1.05 states/eV/atom.

Unit cell a=4.914 b=4.914 c=3.065 alpha=90.00 beta=90.00 gamma=90.00
Space group P4/mmm (No. 123)
Asymmetric unit:
Sr: 0.000 0.000 0.000 [1 per cell]
Ta: 0.000 0.500 0.500 [2 per cell]
Co: 0.500 0.500 0.000 [1 per cell]

=====

Version b
SrTa2Co: relaxed, GGA-PBE.

Output
The calculation puts the density at 10.21 g cm⁻³. As for the size of the total moment: 0.0 μB per formula unit. For the density of states at the Fermi level, the calculation gives 0.93 states/eV/atom.

Unit cell a=3.115 b=3.115 c=8.522 alpha=90.00 beta=90.00 gamma=90.00
Space group P4mm (No. 99)
Asymmetric unit:
Sr: 0.000 0.000 0.000 [1 per cell]
Ta: 0.000 0.000 0.576 [1 per cell]
Ta: 0.500 0.500 0.348 [1 per cell]
Co: 0.500 0.500 0.718 [1 per cell]

=====

Short version: version b, version a, most stable first.

=====

Version a
SrTa2Co: relaxed, GGA-PBE.

Output
The calculation puts the density at 10.78 g cm⁻³. As for the size of the total moment: 1.9 μB per formula unit. For the density of states at the Fermi level, the calculation gives 1.71 states/eV/atom.

Unit cell a=6.793 b=6.793 c=6.793 alpha=90.00 beta=90.00 gamma=90.00
Space group F-43m (No. 216)
Asymmetric unit:
Sr: 0.000 0.000 0.000 [4 per cell]
Ta: 0.000 0.000 0.500 [4 per cell]
Ta: 0.250 0.250 0.750 [4 per cell]
Co: 0.250 0.250 0.250 [4 per cell]

=====

Version b
SrTa2Co: relaxed, GGA-PBE.

Output
The calculation puts the density at 9.96 g cm⁻³. As for the size of the total moment: 0.6 μB per formula unit. For the density of states at the Fermi level, the calculation gives 1.19 states/eV/atom.

Unit cell a=2.933 b=3.650 c=7.928 alpha=90.00 beta=92.58 gamma=90.00
Space group P2/m (No. 10)
Asymmetric unit:
Sr: 0.000 0.000 0.000 [1 per cell]
Ta: 0.427 0.500 0.660 [2 per cell]
Co: 0.000 0.000 0.500 [1 per cell]

=====

Version c
SrTa2Co: relaxed, GGA-PBE.

Output
The calculation puts the density at 9.07 g cm⁻³. As for the size of the total moment: 0.0 μB per formula unit. For the density of states at the Fermi level, the calculation gives 1.17 states/eV/atom.

Unit cell a=9.674 b=3.203 c=6.224 alpha=90.00 beta=105.21 gamma=90.00
Space group Cm (No. 8)
Asymmetric unit:
Sr: 0.000 0.000 0.000 [2 per cell]
Ta: 0.194 0.000 0.614 [2 per cell]
Ta: 0.449 0.000 0.466 [2 per cell]
Co: 0.240 0.500 0.355 [2 per cell]

=====

Short version: version b, version c, version a, most stable first.

=====

Version a
SrTa2Co: relaxed, GGA-PBE.

Output
The calculation puts the density at 10.50 g cm⁻³. As for the size of the total moment: 0.0 μB per formula unit. For the density of states at the Fermi level, the calculation gives 1.09 states/eV/atom.

Unit cell a=3.941 b=3.941 c=5.177 alpha=90.00 beta=90.00 gamma=90.00
Space group P4/mmm (No. 123)
Asymmetric unit:
Sr: 0.000 0.000 0.000 [1 per cell]
Ta: 0.000 0.500 0.500 [2 per cell]
Co: 0.500 0.500 0.000 [1 per cell]

=====

Version b
SrTa2Co: relaxed, GGA-PBE.

Output
The calculation puts the density at 11.71 g cm⁻³. As for the size of the total moment: 0.0 μB per formula unit. For the density of states at the Fermi level, the calculation gives 1.03 states/eV/atom.

Unit cell a=6.608 b=6.608 c=6.608 alpha=90.00 beta=90.00 gamma=90.00
Space group Fm-3m (No. 225)
Asymmetric unit:
Sr: 0.000 0.000 0.000 [4 per cell]
Ta: 0.250 0.250 0.250 [8 per cell]
Co: 0.000 0.000 0.500 [4 per cell]

=====

Version c
SrTa2Co: relaxed, GGA-PBE.

Output
The calculation puts the density at 10.67 g cm⁻³. As for the size of the total moment: 1.0 μB per formula unit. For the density of states at the Fermi level, the calculation gives 1.19 states/eV/atom.

Unit cell a=5.448 b=10.758 c=2.901 alpha=90.00 beta=111.46 gamma=90.00
Space group C2/m (No. 12)
Asymmetric unit:
Sr: 0.000 0.000 0.000 [2 per cell]
Ta: 0.250 0.250 0.500 [4 per cell]
Co: 0.000 0.500 0.000 [2 per cell]

=====

Version d
SrTa2Co: relaxed, GGA-PBE.

Output
The calculation puts the density at 8.55 g cm⁻³. As for the size of the total moment: 0.0 μB per formula unit. For the density of states at the Fermi level, the calculation gives 1.04 states/eV/atom.

Unit cell a=3.9639 b=3.9639 c=21.7760 alpha=90.00 beta=90.00 gamma=120.00
Space group R-3m (No. 166, hexagonal axes)
Asymmetric unit:
Sr: 0.0000 0.0000 0.0000 [3 per cell]
Ta: 0.0000 0.0000 0.2076 [6 per cell]
Co: 0.0000 0.0000 0.5000 [3 per cell]

=====

Short version: version d, version c, version a, version b, most stable first.

=====

Version a
SrTa2Co: relaxed, GGA-PBE.

Output
The calculation puts the density at 8.90 g cm⁻³. As for the size of the total moment: 0.0 μB per formula unit. For the density of states at the Fermi level, the calculation gives 1.16 states/eV/atom.

Unit cell a=3.278 b=3.764 c=15.369 alpha=90.00 beta=90.00 gamma=90.00
Space group Imm2 (No. 44)
Asymmetric unit:
Sr: 0.000 0.000 0.000 [2 per cell]
Ta: 0.000 0.000 0.673 [2 per cell]
Ta: 0.000 0.500 0.810 [2 per cell]
Co: 0.000 0.500 0.289 [2 per cell]

=====

Version b
SrTa2Co: relaxed, GGA-PBE.

Output
The calculation puts the density at 10.55 g cm⁻³. As for the size of the total moment: 0.0 μB per formula unit. For the density of states at the Fermi level, the calculation gives 1.24 states/eV/atom.

Unit cell a=3.938 b=3.938 c=10.315 alpha=90.00 beta=90.00 gamma=90.00
Space group I4/mmm (No. 139)
Asymmetric unit:
Sr: 0.000 0.000 0.000 [2 per cell]
Ta: 0.000 0.500 0.250 [4 per cell]
Co: 0.000 0.000 0.500 [2 per cell]

=====

Version c
SrTa2Co: relaxed, GGA-PBE.

Output
The calculation puts the density at 10.55 g cm⁻³. As for the size of the total moment: 0.8 μB per formula unit. For the density of states at the Fermi level, the calculation gives 1.37 states/eV/atom.

Unit cell a=2.928 b=2.928 c=9.332 alpha=90.00 beta=90.00 gamma=90.00
Space group P4/mmm (No. 123)
Asymmetric unit:
Sr: 0.000 0.000 0.000 [1 per cell]
Ta: 0.500 0.500 0.322 [2 per cell]
Co: 0.000 0.000 0.500 [1 per cell]

=====

Short version: version c, version a, version b, most stable first.

=====

Version a
Sr2TaCo: relaxed, GGA-PBE.

Output
The calculation puts the density at 5.34 g cm⁻³. As for the size of the total moment: 0.5 μB per formula unit. For the density of states at the Fermi level, the calculation gives 1.34 states/eV/atom.

Unit cell a=4.1081 b=4.1081 c=26.4927 alpha=90.00 beta=90.00 gamma=120.00
Space group R3m (No. 160, hexagonal axes)
Asymmetric unit:
Sr: 0.0000 0.0000 0.0000 [3 per cell]
Sr: 0.0000 0.0000 0.1832 [3 per cell]
Ta: 0.0000 0.0000 0.7568 [3 per cell]
Co: 0.0000 0.0000 0.4324 [3 per cell]

=====

Version b
Sr2TaCo: relaxed, GGA-PBE.

Output
The calculation puts the density at 6.88 g cm⁻³. As for the size of the total moment: 1.5 μB per formula unit. For the density of states at the Fermi level, the calculation gives 1.28 states/eV/atom.

Unit cell a=6.359 b=10.045 c=3.138 alpha=90.00 beta=90.00 gamma=90.00
Space group Cmmm (No. 65)
Asymmetric unit:
Sr: 0.250 0.250 0.000 [4 per cell]
Ta: 0.000 0.000 0.500 [2 per cell]
Co: 0.000 0.500 0.500 [2 per cell]

=====

Version c
Sr2TaCo: relaxed, GGA-PBE.

Output
The calculation puts the density at 4.72 g cm⁻³. As for the size of the total moment: 0.7 μB per formula unit. For the density of states at the Fermi level, the calculation gives 1.34 states/eV/atom.

Unit cell a=11.351 b=11.351 c=4.537 alpha=90.00 beta=90.00 gamma=90.00
Space group I-42d (No. 122)
Asymmetric unit:
Sr: 0.079 0.750 0.125 [8 per cell]
Ta: 0.000 0.000 0.500 [4 per cell]
Co: 0.000 0.000 0.000 [4 per cell]

=====

Version d
Sr2TaCo: relaxed, GGA-PBE.

Output
The calculation puts the density at 6.14 g cm⁻³. As for the size of the total moment: 4.7 μB per formula unit. For the density of states at the Fermi level, the calculation gives 2.10 states/eV/atom.

Unit cell a=7.658 b=7.658 c=7.658 alpha=90.00 beta=90.00 gamma=90.00
Space group Fm-3m (No. 225)
Asymmetric unit:
Sr: 0.250 0.250 0.250 [8 per cell]
Ta: 0.000 0.000 0.000 [4 per cell]
Co: 0.000 0.000 0.500 [4 per cell]

=====

Short version: version a, version c, version b, version d, most stable first.

=====

Version a
Sr2TaCo: relaxed, GGA-PBE.

Output
The calculation puts the density at 6.44 g cm⁻³. As for the size of the total moment: 2.6 μB per formula unit. For the density of states at the Fermi level, the calculation gives 1.46 states/eV/atom.

Unit cell a=5.804 b=5.804 c=3.180 alpha=90.00 beta=90.00 gamma=90.00
Space group P4/mmm (No. 123)
Asymmetric unit:
Sr: 0.000 0.500 0.000 [2 per cell]
Ta: 0.000 0.000 0.500 [1 per cell]
Co: 0.500 0.500 0.500 [1 per cell]

=====

Version b
Sr2TaCo: relaxed, GGA-PBE.

Output
The calculation puts the density at 7.16 g cm⁻³. As for the size of the total moment: 0.4 μB per formula unit. For the density of states at the Fermi level, the calculation gives 1.25 states/eV/atom.

Unit cell a=7.276 b=7.276 c=7.276 alpha=90.00 beta=90.00 gamma=90.00
Space group F-43m (No. 216)
Asymmetric unit:
Sr: 0.000 0.000 0.000 [4 per cell]
Sr: 0.250 0.250 0.250 [4 per cell]
Ta: 0.000 0.000 0.500 [4 per cell]
Co: 0.250 0.250 0.750 [4 per cell]

=====

Version c
Sr2TaCo: relaxed, GGA-PBE.

Output
The calculation puts the density at 6.19 g cm⁻³. As for the size of the total moment: 0.0 μB per formula unit. For the density of states at the Fermi level, the calculation gives 1.30 states/eV/atom.

Unit cell a=3.547 b=5.631 c=11.143 alpha=90.00 beta=90.00 gamma=90.00
Space group Imm2 (No. 44)
Asymmetric unit:
Sr: 0.000 0.000 0.000 [2 per cell]
Sr: 0.000 0.500 0.199 [2 per cell]
Ta: 0.000 0.500 0.816 [2 per cell]
Co: 0.000 0.000 0.449 [2 per cell]

=====

Short version: version c, version b, version a, most stable first.